1.
! GGA-PBE TbB3Os3, relaxed; values from VASP
&SYSTEM
  ibrav = 0, nat = 14, ntyp = 3
/
ATOMIC_SPECIES
Tb 158.93 Tb.upf
B 10.81 B.upf
Os 190.23 Os.upf
ATOMIC_POSITIONS angstrom
Tb 0.000 0.000 0.000
Tb 2.935 2.935 2.935
B 0.000 1.467 2.935
B 0.000 4.402 2.935
B 1.467 2.935 0.000
B 2.935 0.000 1.467
B 2.935 0.000 4.402
B 4.402 2.935 0.000
Os 0.000 2.935 1.467
Os 0.000 2.935 4.402
Os 1.467 0.000 2.935
Os 2.935 1.467 0.000
Os 2.935 4.402 0.000
Os 4.402 0.000 2.935
CELL_PARAMETERS angstrom
5.869 0.000 0.000
0.000 5.869 0.000
0.000 0.000 5.869
! space-group type = Pm-3n
! volume = 202 Å³ per cell
! DOS(E_F) = 8.4 states/eV/f.u.
! energy relative to the elements = 1 kJ/mol of atoms
! energy above the most stable polymorph in this dataset = 113 meV/atom
! magnetization = 0.0 μB per cell
! total energy = -0.6121 Ry/atom

***

2.
! GGA-PBE CoB2Au, relaxed; values from VASP
&SYSTEM
  ibrav = 0, nat = 8, ntyp = 3
/
ATOMIC_SPECIES
Co 58.93 Co.upf
B 10.81 B.upf
Au 196.97 Au.upf
ATOMIC_POSITIONS angstrom
Co 0.000 0.000 0.000
Co 0.000 2.326 2.389
B 3.489 0.926 -1.195
B 0.926 1.163 1.195
B -1.163 1.400 3.584
B 1.400 1.163 5.973
Au 2.326 0.000 2.389
Au 0.000 0.000 4.779
CELL_PARAMETERS angstrom
-2.326 2.326 4.779
2.326 -2.326 4.779
2.326 2.326 -4.779
! space-group type = I-42d
! volume = 103 Å³ per cell
! DOS(E_F) = 1.6 states/eV/f.u.
! energy relative to the elements = 63 kJ/mol of atoms
! energy above the most stable polymorph in this dataset = 0 meV/atom
! magnetization = 0.0 μB per cell
! total energy = -0.3880 Ry/atom

***

3.
! GGA-PBE TmTlSb2, relaxed; values from VASP
&SYSTEM
  ibrav = 0, nat = 4, ntyp = 3
/
ATOMIC_SPECIES
Tm 168.93 Tm.upf
Tl 204.38 Tl.upf
Sb 121.76 Sb.upf
ATOMIC_POSITIONS angstrom
Tm 0.000 0.000 0.000
Tl 0.000 0.000 16.952
Sb 0.000 0.000 8.326
Sb 0.000 0.000 12.191
CELL_PARAMETERS angstrom
2.339 1.350 6.807
-2.339 1.350 6.807
0.000 -2.701 6.807
! space-group type = R3m
! volume = 129 Å³ per cell
! DOS(E_F) = 2.7 states/eV/f.u.
! energy above the most stable polymorph in this dataset = 142 meV/atom
! magnetization = 0.0 μB per cell
! total energy = -0.2984 Ry/atom
! formation energy without anion corrections = -0.2893 eV per atom

***

4.
! GGA-PBE CsCuSeBr6, relaxed; values from VASP
&SYSTEM
  ibrav = 0, nat = 9, ntyp = 4
/
ATOMIC_SPECIES
Cs 132.91 Cs.upf
Cu 63.55 Cu.upf
Se 78.96 Se.upf
Br 79.90 Br.upf
ATOMIC_POSITIONS angstrom
Cs 0.000 0.000 0.000
Cu 3.766 1.106 3.880
Se 7.183 3.852 3.881
Br 2.052 2.237 5.148
Br 5.895 5.905 2.675
Br 5.660 3.658 5.948
Br 5.480 2.236 2.612
Br 8.467 5.907 5.089
Br 8.708 3.664 1.813
CELL_PARAMETERS angstrom
6.837 0.000 0.000
3.416 6.532 0.000
0.702 -0.004 7.758
! space-group type = P1
! volume = 346 Å³ per cell
! magnetization = 0.1 μB per cell
! total energy = -0.1892 Ry/atom
! formation energy without anion corrections = -0.5222 eV per atom